## Ce2NdAgN (PBE)

Data for crystalline Ce2NdAgN at its relaxed geometry.

Results
- N(E_F) (states/eV/cell) = 11.39
- spin magnetization (μB per atom) = 0.302
- E_form (uncorrected) (kJ/mol of formula units) = -272
- calculated volume (A^3/atom) = 23.82
- crystal system = tetragonal

Unit cell a=4.838 b=4.838 c=5.089 alpha=90.00 beta=90.00 gamma=90.00
Space group P4/mmm (No. 123)
One atom of each set of equivalent atoms:
Ce: 0.000 0.500 0.000 x2
Nd: 0.000 0.000 0.500 x1
Ag: 0.500 0.500 0.500 x1
N: 0.000 0.000 0.000 x1

---

## CeAgPbN (PBE)

Data for crystalline CeAgPbN at its relaxed geometry.

Results
- N(E_F) (states/eV/cell) = 8.22
- spin magnetization (μB per atom) = 0.084
- E_form (uncorrected) (kJ/mol of formula units) = -190
- calculated volume (A^3/atom) = 21.48
- crystal system = tetragonal

Unit cell a=3.377 b=3.377 c=15.067 alpha=90.00 beta=90.00 gamma=90.00
Space group I4mm (No. 107)
One atom of each set of equivalent atoms:
Ce: 0.000 0.000 0.000 x2
Ag: 0.000 0.000 0.670 x2
Pb: 0.000 0.000 0.299 x2
N: 0.000 0.000 0.521 x2

---

## Ce2PmAgN (PBE)

Data for crystalline Ce2PmAgN at its relaxed geometry.

Results
- N(E_F) (states/eV/cell) = 11.22
- spin magnetization (μB per atom) = 0.295
- E_form (uncorrected) (kJ/mol of formula units) = -276
- calculated volume (A^3/atom) = 23.60
- crystal system = tetragonal

Unit cell a=4.844 b=4.844 c=5.030 alpha=90.00 beta=90.00 gamma=90.00
Space group P4/mmm (No. 123)
One atom of each set of equivalent atoms:
Ce: 0.000 0.500 0.000 x2
Pm: 0.000 0.000 0.500 x1
Ag: 0.500 0.500 0.500 x1
N: 0.000 0.000 0.000 x1

---

## Ce2PrAgN (PBE)

Data for crystalline Ce2PrAgN at its relaxed geometry.

Results
- N(E_F) (states/eV/cell) = 11.55
- spin magnetization (μB per atom) = 0.311
- E_form (uncorrected) (kJ/mol of formula units) = -267
- calculated volume (A^3/atom) = 24.05
- crystal system = tetragonal

Unit cell a=4.836 b=4.836 c=5.143 alpha=90.00 beta=90.00 gamma=90.00
Space group P4/mmm (No. 123)
One atom of each set of equivalent atoms:
Ce: 0.000 0.500 0.000 x2
Pr: 0.000 0.000 0.500 x1
Ag: 0.500 0.500 0.500 x1
N: 0.000 0.000 0.000 x1

---

## Ce2AgSe2N2 (PBE)

Data for crystalline Ce2AgSe2N2 at its relaxed geometry.

Results
- N(E_F) (states/eV/cell) = 7.42
- spin magnetization (μB per atom) = 0.000
- E_form (uncorrected) (kJ/mol of formula units) = -698
- calculated volume (A^3/atom) = 22.62
- crystal system = trigonal

Unit cell a=3.9199 b=3.9199 c=11.9010 alpha=90.00 beta=90.00 gamma=120.00
Space group P-3m1 (No. 164)
One atom of each set of equivalent atoms:
Ce: 0.3333 0.6667 0.1212 x2
Ag: 0.0000 0.0000 0.5000 x1
Se: 0.0000 0.0000 0.2933 x2
N: 0.3333 0.6667 0.9259 x2

---

## Ce2SmAgN (PBE)

Data for crystalline Ce2SmAgN at its relaxed geometry.

Results
- N(E_F) (states/eV/cell) = 11.04
- spin magnetization (μB per atom) = 0.294
- E_form (uncorrected) (kJ/mol of formula units) = -279
- calculated volume (A^3/atom) = 23.45
- crystal system = tetragonal

Unit cell a=4.847 b=4.847 c=4.991 alpha=90.00 beta=90.00 gamma=90.00
Space group P4/mmm (No. 123)
One atom of each set of equivalent atoms:
Ce: 0.000 0.500 0.000 x2
Sm: 0.000 0.000 0.500 x1
Ag: 0.500 0.500 0.500 x1
N: 0.000 0.000 0.000 x1

---

no.,density (kg/m3)
1,7616
2,9070
3,7698
4,7498
5,6019
6,7823